[1]
{
  "formula": "PmNd3N",
  "functional": "PBE",
  "state": "relaxed",
  "lattice_angstrom": [[5.164, 0.000, 0.000], [0.000, 5.164, 0.000], [0.000, 0.000, 5.164]],
  "species": ["Pm", "Nd", "Nd", "Nd", "N"],
  "frac_coords": [[0.000, 0.000, 0.000], [0.000, 0.500, 0.500], [0.500, 0.000, 0.500], [0.500, 0.500, 0.000], [0.500, 0.500, 0.500]],
  "raw_formation_energy_mev_per_atom": -430,
  "n_ef_per_ev_atom": 1.43,
  "crystal_system": "cubic"
}

=====

[2]
{
  "formula": "Cd3Pd12Rh",
  "functional": "PBE",
  "state": "relaxed",
  "lattice_angstrom": [[4.009, 0.000, 0.000], [0.000, 4.009, 0.000], [0.000, 0.000, 16.094]],
  "species": ["Cd", "Cd", "Cd", "Pd", "Pd", "Pd", "Pd", "Pd", "Pd", "Pd", "Pd", "Pd", "Pd", "Pd", "Pd", "Rh"],
  "frac_coords": [[0.000, 0.000, 0.000], [0.000, 0.000, 0.253], [0.000, 0.000, 0.747], [0.000, 0.500, 0.127], [0.000, 0.500, 0.381], [0.000, 0.500, 0.619], [0.000, 0.500, 0.873], [0.500, 0.000, 0.127], [0.500, 0.000, 0.381], [0.500, 0.000, 0.619], [0.500, 0.000, 0.873], [0.500, 0.500, 0.000], [0.500, 0.500, 0.255], [0.500, 0.500, 0.500], [0.500, 0.500, 0.745], [0.000, 0.000, 0.500]],
  "n_ef_per_ev_atom": 1.53,
  "formation_energy_ev_per_atom": -0.16,
  "crystal_system": "tetragonal"
}

=====

[3]
{
  "formula": "Si3RhBr",
  "functional": "PBE",
  "state": "relaxed",
  "lattice_angstrom": [[4.680, 0.000, 0.000], [0.000, 4.680, 0.000], [0.000, 0.000, 4.680]],
  "species": ["Si", "Si", "Si", "Rh", "Br"],
  "frac_coords": [[0.000, 0.000, 0.500], [0.000, 0.500, 0.000], [0.500, 0.000, 0.000], [0.000, 0.000, 0.000], [0.500, 0.500, 0.500]],
  "raw_formation_energy_mev_per_atom": 241,
  "n_ef_per_ev_atom": 0.59,
  "crystal_system": "cubic",
  "relative_energy_ev_per_fu": 0.00
}

=====

[4]
{
  "formula": "NaMg5Pb6",
  "functional": "PBE",
  "state": "relaxed",
  "lattice_angstrom": [[4.569, -7.995, 0.000], [4.569, 7.995, 0.000], [-2.966, 0.000, 4.364]],
  "species": ["Na", "Mg", "Mg", "Mg", "Mg", "Mg", "Pb", "Pb", "Pb", "Pb", "Pb", "Pb"],
  "frac_coords": [[0.000, 0.000, 0.000], [0.165, 0.835, 0.500], [0.332, 0.668, 0.000], [0.500, 0.500, 0.500], [0.668, 0.332, 0.000], [0.835, 0.165, 0.500], [0.086, 0.424, 0.256], [0.261, 0.261, 0.759], [0.424, 0.086, 0.256], [0.576, 0.914, 0.744], [0.739, 0.739, 0.241], [0.914, 0.576, 0.744]],
  "n_ef_per_ev_atom": 0.30,
  "formation_energy_ev_per_atom": -0.08,
  "crystal_system": "monoclinic"
}

=====

[5]
{
  "formula": "LiSbHIr2",
  "functional": "PBE",
  "state": "relaxed",
  "lattice_angstrom": [[4.065, 0.000, 0.000], [0.000, 4.065, 0.000], [0.000, 0.000, 3.810]],
  "species": ["Li", "Sb", "H", "Ir", "Ir"],
  "frac_coords": [[0.000, 0.000, 0.000], [0.500, 0.500, 0.000], [0.000, 0.000, 0.500], [0.000, 0.500, 0.500], [0.500, 0.000, 0.500]],
  "n_ef_per_ev_atom": 0.31,
  "dft_energy_ev_per_cell": -28.151,
  "crystal_system": "tetragonal"
}

=====

[6]
{
  "formula": "PmSm6Zn",
  "functional": "PBE",
  "state": "relaxed",
  "lattice_angstrom": [[4.736, 2.734, 3.294], [-4.736, 2.734, 3.294], [0.000, -5.469, 3.294]],
  "species": ["Pm", "Sm", "Sm", "Sm", "Sm", "Sm", "Sm", "Zn"],
  "frac_coords": [[0.000, 0.000, 0.000], [0.077, 0.545, 0.264], [0.264, 0.077, 0.545], [0.455, 0.736, 0.923], [0.545, 0.264, 0.077], [0.736, 0.923, 0.455], [0.923, 0.455, 0.736], [0.500, 0.500, 0.500]],
  "n_ef_per_ev_atom": 1.27,
  "formation_energy_ev_per_atom": 0.03,
  "crystal_system": "trigonal"
}

=====

[7]
{
  "formula": "MoCl3",
  "functional": "PBE",
  "state": "relaxed",
  "lattice_angstrom": [[3.107, -4.862, 0.000], [3.107, 4.862, 0.000], [-1.804, 0.000, 6.786]],
  "species": ["Mo", "Mo", "Cl", "Cl", "Cl", "Cl", "Cl", "Cl"],
  "frac_coords": [[0.133, 0.867, 0.000], [0.867, 0.133, 0.000], [0.099, 0.441, 0.805], [0.237, 0.237, 0.254], [0.441, 0.099, 0.805], [0.559, 0.901, 0.195], [0.763, 0.763, 0.746], [0.901, 0.559, 0.195]],
  "raw_formation_energy_mev_per_atom": -858,
  "crystal_system": "monoclinic",
  "relative_energy_ev_per_fu": 0.00
}

=====

[8]
{
  "formula": "MgAlRe2",
  "functional": "PBE",
  "state": "relaxed",
  "lattice_angstrom": [[2.776, 0.000, 0.000], [0.000, 4.381, 0.000], [-1.112, 0.000, 5.138]],
  "species": ["Mg", "Al", "Re", "Re"],
  "frac_coords": [[0.000, 0.000, 0.000], [0.331, 0.500, 0.764], [0.487, 0.000, 0.495], [0.718, 0.500, 0.287]],
  "n_ef_per_ev_atom": 0.71,
  "formation_energy_ev_per_atom": 0.13,
  "crystal_system": "monoclinic",
  "relative_energy_ev_per_fu": 0.84
}

=====

[9]
{
  "formula": "CrInSb",
  "functional": "PBE",
  "state": "relaxed",
  "lattice_angstrom": [[4.272, 0.000, 0.000], [-2.136, 3.699, 0.000], [0.000, 0.000, 4.783]],
  "species": ["Cr", "In", "Sb"],
  "frac_coords": [[0.000, 0.000, 0.000], [0.667, 0.333, 0.349], [0.333, 0.667, 0.744]],
  "raw_formation_energy_mev_per_atom": 367,
  "n_ef_per_ev_atom": 0.53,
  "crystal_system": "trigonal",
  "relative_energy_ev_per_fu": 0.57
}

=====

[10]
{
  "formula": "SiPAuO2",
  "functional": "PBE",
  "state": "relaxed",
  "lattice_angstrom": [[3.429, 0.000, 0.000], [0.000, 3.429, 0.000], [0.000, 0.000, 5.796]],
  "species": ["Si", "P", "Au", "O", "O"],
  "frac_coords": [[0.000, 0.000, 0.000], [0.000, 0.000, 0.500], [0.500, 0.500, 0.500], [0.000, 0.500, 0.000], [0.500, 0.000, 0.000]],
  "raw_formation_energy_mev_per_atom": -804,
  "n_ef_per_ev_atom": 0.60,
  "crystal_system": "tetragonal",
  "relative_energy_ev_per_fu": 0.00
}

=====

[11]
{
  "formula": "Pm2NdPa",
  "functional": "PBE",
  "state": "relaxed",
  "lattice_angstrom": [[3.456, 0.000, 0.000], [0.000, 3.456, 0.000], [0.000, 0.000, 10.586]],
  "species": ["Pm", "Pm", "Nd", "Pa"],
  "frac_coords": [[0.000, 0.000, 0.227], [0.000, 0.000, 0.773], [0.500, 0.500, 0.500], [0.500, 0.500, 0.000]],
  "n_ef_per_ev_atom": 1.43,
  "formation_energy_ev_per_atom": 0.15,
  "crystal_system": "tetragonal",
  "relative_energy_ev_per_fu": 0.00
}

=====

[12]
{
  "formula": "CePm2NdN4",
  "functional": "PBE",
  "state": "relaxed",
  "lattice_angstrom": [[6.237, 0.000, 0.000], [0.000, 3.612, 0.000], [-2.066, 0.000, 5.889]],
  "species": ["Ce", "Pm", "Pm", "Nd", "N", "N", "N", "N"],
  "frac_coords": [[0.000, 0.000, 0.000], [0.500, 0.000, 0.500], [0.500, 0.500, 0.000], [0.000, 0.500, 0.500], [0.242, 0.500, 0.240], [0.245, 0.000, 0.758], [0.755, 0.000, 0.242], [0.758, 0.500, 0.760]],
  "raw_formation_energy_mev_per_atom": -1451,
  "n_ef_per_ev_atom": 0.40,
  "crystal_system": "monoclinic"
}